# 1
This record from Alexandria describes an optimized crystal structure of BaCo2Au. The functional is PBEsol.

Structure (CIF):
```
data_BaCo2Au
_cell_length_a 4.0948
_cell_length_b 4.0948
_cell_length_c 5.3085
_cell_angle_alpha 112.69
_cell_angle_beta 112.69
_cell_angle_gamma 90.00
_symmetry_space_group_name_H-M 'P 1'
_symmetry_Int_Tables_number 1
_symmetry_space_group_name_Hall 'P 1'
loop_
_atom_site_label
_atom_site_fract_x
_atom_site_fract_y
_atom_site_fract_z
_atom_site_occupancy
Co1 0.7500 0.2500 0.5000 1
Co2 0.0000 0.0000 0.0000 1
Au1 0.5000 0.5000 0.0000 1
Ba1 0.2500 0.7500 0.5000 1
```

***

# 2
This record from Alexandria describes an optimized crystal structure of BaCo2Au. The functional is PBEsol.

Structure (CIF):
```
data_BaCo2Au
_cell_length_a 4.1768
_cell_length_b 4.1768
_cell_length_c 6.1481
_cell_angle_alpha 70.14
_cell_angle_beta 70.14
_cell_angle_gamma 60.00
_symmetry_space_group_name_H-M 'P 1'
_symmetry_Int_Tables_number 1
_symmetry_space_group_name_Hall 'P 1'
loop_
_atom_site_label
_atom_site_fract_x
_atom_site_fract_y
_atom_site_fract_z
_atom_site_occupancy
Co1 0.9357 0.9357 0.1928 1
Co2 0.2633 0.2633 0.2100 1
Au1 0.5522 0.5522 0.3433 1
Ba1 0.7460 0.7460 0.7620 1
```

***

# 3
This record from Alexandria describes an optimized crystal structure of BaCr4Au. The functional is PBEsol.

Structure (CIF):
```
data_BaCr4Au
_cell_length_a 5.1081
_cell_length_b 5.1081
_cell_length_c 5.1081
_cell_angle_alpha 60.00
_cell_angle_beta 60.00
_cell_angle_gamma 60.00
_symmetry_space_group_name_H-M 'P 1'
_symmetry_Int_Tables_number 1
_symmetry_space_group_name_Hall 'P 1'
loop_
_atom_site_label
_atom_site_fract_x
_atom_site_fract_y
_atom_site_fract_z
_atom_site_occupancy
Au1 0.7500 0.7500 0.7500 1
Cr1 0.3824 0.8529 0.3824 1
Cr2 0.8529 0.3824 0.3824 1
Cr3 0.3824 0.3824 0.3824 1
Ba1 0.0000 0.0000 0.0000 1
Cr4 0.3824 0.3824 0.8529 1
```

***

# 4
This record from Alexandria describes an optimized crystal structure of BaCr2Au. The functional is PBEsol.

Structure (CIF):
```
data_BaCr2Au
_cell_length_a 3.2001
_cell_length_b 4.6545
_cell_length_c 6.2600
_cell_angle_alpha 90.00
_cell_angle_beta 102.97
_cell_angle_gamma 90.00
_symmetry_space_group_name_H-M 'P 1'
_symmetry_Int_Tables_number 1
_symmetry_space_group_name_Hall 'P 1'
loop_
_atom_site_label
_atom_site_fract_x
_atom_site_fract_y
_atom_site_fract_z
_atom_site_occupancy
Cr1 0.2512 0.0000 0.1129 1
Ba1 0.0000 0.5000 0.5000 1
Cr2 0.7488 0.0000 0.8871 1
Au1 0.5000 0.5000 0.0000 1
```

***

# 5
This record from Alexandria describes an optimized crystal structure of BaCrAu3. The functional is PBEsol.

Structure (CIF):
```
data_BaCrAu3
_cell_length_a 5.0213
_cell_length_b 5.0213
_cell_length_c 5.0213
_cell_angle_alpha 90.00
_cell_angle_beta 90.00
_cell_angle_gamma 90.00
_symmetry_space_group_name_H-M 'P 1'
_symmetry_Int_Tables_number 1
_symmetry_space_group_name_Hall 'P 1'
loop_
_atom_site_label
_atom_site_fract_x
_atom_site_fract_y
_atom_site_fract_z
_atom_site_occupancy
Au1 0.0000 0.5000 0.0000 1
Au2 0.5000 0.0000 0.0000 1
Ba1 0.5000 0.5000 0.5000 1
Cr1 0.0000 0.0000 0.0000 1
Au3 0.0000 0.0000 0.5000 1
```

***

# 6
This record from Alexandria describes an optimized crystal structure of Ba2CrAu. The functional is PBEsol.

Structure (CIF):
```
data_Ba2CrAu
_cell_length_a 3.7889
_cell_length_b 3.7889
_cell_length_c 9.1545
_cell_angle_alpha 90.00
_cell_angle_beta 90.00
_cell_angle_gamma 90.00
_symmetry_space_group_name_H-M 'P 1'
_symmetry_Int_Tables_number 1
_symmetry_space_group_name_Hall 'P 1'
loop_
_atom_site_label
_atom_site_fract_x
_atom_site_fract_y
_atom_site_fract_z
_atom_site_occupancy
Au1 0.5000 0.5000 0.6790 1
Ba1 0.0000 0.0000 0.9156 1
Ba2 0.5000 0.5000 0.3258 1
Cr1 0.0000 0.0000 0.5795 1
```

***

# 7
This record from Alexandria describes an optimized crystal structure of BaCrAu2. The functional is PBEsol.

Structure (CIF):
```
data_BaCrAu2
_cell_length_a 4.5968
_cell_length_b 4.5968
_cell_length_c 6.1448
_cell_angle_alpha 68.04
_cell_angle_beta 68.04
_cell_angle_gamma 60.00
_symmetry_space_group_name_H-M 'P 1'
_symmetry_Int_Tables_number 1
_symmetry_space_group_name_Hall 'P 1'
loop_
_atom_site_label
_atom_site_fract_x
_atom_site_fract_y
_atom_site_fract_z
_atom_site_occupancy
Au1 0.6995 0.6995 0.9016 1
Cr1 0.0000 0.0000 0.0000 1
Au2 0.3005 0.3005 0.0984 1
Ba1 0.5000 0.5000 0.5000 1
```

***

# 8
This record from Alexandria describes an optimized crystal structure of BaCrAu. The functional is PBEsol.

Structure (CIF):
```
data_BaCrAu
_cell_length_a 5.0820
_cell_length_b 5.0820
_cell_length_c 5.0820
_cell_angle_alpha 60.00
_cell_angle_beta 60.00
_cell_angle_gamma 60.00
_symmetry_space_group_name_H-M 'P 1'
_symmetry_Int_Tables_number 1
_symmetry_space_group_name_Hall 'P 1'
loop_
_atom_site_label
_atom_site_fract_x
_atom_site_fract_y
_atom_site_fract_z
_atom_site_occupancy
Au1 0.2500 0.2500 0.2500 1
Ba1 0.0000 0.0000 0.0000 1
Cr1 0.5000 0.5000 0.5000 1
```

***

# 9
This record from Alexandria describes an optimized crystal structure of Ba2ZrCrAu. The functional is PBEsol.

Structure (CIF):
```
data_Ba2ZrCrAu
_cell_length_a 5.1851
_cell_length_b 6.1998
_cell_length_c 6.1998
_cell_angle_alpha 90.00
_cell_angle_beta 90.00
_cell_angle_gamma 90.00
_symmetry_space_group_name_H-M 'P 1'
_symmetry_Int_Tables_number 1
_symmetry_space_group_name_Hall 'P 1'
loop_
_atom_site_label
_atom_site_fract_x
_atom_site_fract_y
_atom_site_fract_z
_atom_site_occupancy
Ba1 0.0000 0.0000 0.5000 1
Cr1 0.5000 0.5000 0.5000 1
Zr1 0.5000 0.0000 0.0000 1
Au1 0.0000 0.0000 0.0000 1
Ba2 0.0000 0.5000 0.0000 1
```

***

# 10
This record from Alexandria describes an optimized crystal structure of CsBaAu2. The functional is PBEsol.

Structure (CIF):
```
data_CsBaAu2
_cell_length_a 5.6416
_cell_length_b 5.6416
_cell_length_c 5.6416
_cell_angle_alpha 60.00
_cell_angle_beta 60.00
_cell_angle_gamma 60.00
_symmetry_space_group_name_H-M 'P 1'
_symmetry_Int_Tables_number 1
_symmetry_space_group_name_Hall 'P 1'
loop_
_atom_site_label
_atom_site_fract_x
_atom_site_fract_y
_atom_site_fract_z
_atom_site_occupancy
Au1 0.7500 0.7500 0.7500 1
Cs1 0.0000 0.0000 0.0000 1
Ba1 0.5000 0.5000 0.5000 1
Au2 0.2500 0.2500 0.2500 1
```

***

# 11
This record from Alexandria describes an optimized crystal structure of CsBaPd2Au. The functional is PBEsol.

Structure (CIF):
```
data_CsBaPd2Au
_cell_length_a 5.1162
_cell_length_b 5.1162
_cell_length_c 6.6989
_cell_angle_alpha 90.00
_cell_angle_beta 90.00
_cell_angle_gamma 90.00
_symmetry_space_group_name_H-M 'P 1'
_symmetry_Int_Tables_number 1
_symmetry_space_group_name_Hall 'P 1'
loop_
_atom_site_label
_atom_site_fract_x
_atom_site_fract_y
_atom_site_fract_z
_atom_site_occupancy
Au1 0.5000 0.5000 0.5000 1
Pd1 0.0000 0.5000 0.0000 1
Cs1 0.0000 0.0000 0.0000 1
Ba1 0.0000 0.0000 0.5000 1
Pd2 0.5000 0.0000 0.0000 1
```

***

# 12
# Ba2CuAu, optimized geometry, DFT PBEsol
data_Ba2CuAu
_cell_length_a 4.3330
_cell_length_b 4.4342
_cell_length_c 8.2511
_cell_angle_alpha 105.59
_cell_angle_beta 105.22
_cell_angle_gamma 90.00
_symmetry_space_group_name_H-M 'P 1'
_symmetry_Int_Tables_number 1
_symmetry_space_group_name_Hall 'P 1'
loop_
_atom_site_label
_atom_site_fract_x
_atom_site_fract_y
_atom_site_fract_z
_atom_site_occupancy
Ba1 0.2472 0.7472 0.4944 1
Ba2 0.0033 0.0033 0.0067 1
Au1 0.6666 0.1666 0.3332 1
Cu1 0.5829 0.5829 0.1657 1
# - E above lowest polymorph: 99 meV per atom

***

# 13
# Ba2CuAu, optimized geometry, DFT PBEsol
data_Ba2CuAu
_cell_length_a 4.5491
_cell_length_b 4.5976
_cell_length_c 6.4803
_cell_angle_alpha 90.00
_cell_angle_beta 110.55
_cell_angle_gamma 90.00
_symmetry_space_group_name_H-M 'P 1'
_symmetry_Int_Tables_number 1
_symmetry_space_group_name_Hall 'P 1'
loop_
_atom_site_label
_atom_site_fract_x
_atom_site_fract_y
_atom_site_fract_z
_atom_site_occupancy
Ba1 0.2630 0.5000 0.5259 1
Au1 0.6837 0.0000 0.3674 1
Cu1 0.5687 0.5000 0.1373 1
Ba2 0.9846 0.0000 0.9693 1
# - E above lowest polymorph: 21 meV per atom

***

no.,DFT formation energy (eV per atom)
1,0.790
2,0.087
3,0.999
4,0.727
5,0.014
6,0.221
7,-0.136
8,0.412
9,0.749
10,-0.342
11,0.993
12,-0.230
13,-0.308